4
Lattice="1.8431 1.0641 10.8245 -1.8431 1.0641 10.8245 0.0000 -2.1283 10.8245" Properties=species:S:1:pos:R:3 comment="Tb2NdTl | the Alexandria database | PBE | optimized geometry" e_above_lowest_polymorph_mev_per_atom=85 e_tot_ev_per_atom=-4.20 magnetic_moment_mub_per_fu=0.00 formation_energy_mev_per_atom=-104 n_ef_per_ev_atom=1.36 pbc="T T T"
Tb 0.0000 0.0000 0.0000
Tb 0.0000 0.0000 5.8706
Nd 0.0000 0.0000 24.5908
Tl 0.0000 0.0000 19.1776